NaThSi4: optimized geometry, PBE-GGA.

Results
- Crystal system: cubic
- Mass density: 5.57 g cm⁻³
- Raw formation energy: -0.13 eV/atom

Cell: 5.3706 5.3706 5.3706 Å, 60.00 60.00 60.00°
With the nearest neighbours (Å) after each atom.
Atoms (fractional coordinates):
Na (0.0000, 0.0000, 0.0000)  12 Si 3.15, 4 Th 3.29
Th (0.2500, 0.2500, 0.2500)  12 Si 3.15, 4 Na 3.29
Si (0.1201, 0.6266, 0.6266)  6 Si 2.65-2.72
Si (0.6266, 0.1201, 0.6266)  6 Si 2.65-2.72
Si (0.6266, 0.6266, 0.1201)  6 Si 2.65-2.72
Si (0.6266, 0.6266, 0.6266)  6 Si 2.65-2.72